The following is a DFT calculation (GGA-PBEsol) of a geometry-optimized CsAsSe2O structure.

Geometry as CIF:
```
data_CsAsSe2O
_space_group_name_H-M_alt 'P 4/m m m'
_space_group_IT_number 123
_space_group_name_Hall '-P 4 2'
_cell_length_a 4.9833
_cell_length_b 4.9833
_cell_length_c 4.3840
_cell_angle_alpha 90.00
_cell_angle_beta 90.00
_cell_angle_gamma 90.00
loop_
_atom_site_label
_atom_site_fract_x
_atom_site_fract_y
_atom_site_fract_z
Cs1 0.0000 0.0000 0.0000
As1 0.5000 0.5000 0.0000
Se1 0.0000 0.5000 0.5000
O1 0.5000 0.5000 0.5000
```

The calculation puts the mass density at 5.82 Mg/m³. The value obtained for the raw formation energy is 0.1591 eV per atom. Its total energy is -3.64 eV per atom.